# SrNdCoRuO6, optimized geometry, DFT GGA+U
# Relative energy among the computed polymorphs (meV/atom): 0
# Density of states at the Fermi level (states/eV per atom): 0.052
# Energy (eV per atom): -7.073
# Total magnetic moment (μB per cell): 12.003
data_SrNdCoRuO6
_space_group_name_H-M_alt 'P 1 c 1'
_space_group_IT_number 7
_space_group_name_Hall 'P -2yc'
_cell_length_a 5.565
_cell_length_b 5.715
_cell_length_c 9.649
_cell_angle_alpha 90.00
_cell_angle_beta 125.15
_cell_angle_gamma 90.00
loop_
_atom_site_label
_atom_site_type_symbol
_atom_site_fract_x
_atom_site_fract_y
_atom_site_fract_z
_atom_site_occupancy
Sr1 Sr 0.000 0.211 0.000 1
Nd1 Nd 0.478 0.304 0.500 1
Co1 Co 0.742 0.245 0.250 1
Ru1 Ru 0.241 0.248 0.749 1
O1 O 0.003 0.463 0.787 1
O2 O 0.096 0.039 0.296 1
O3 O 0.410 0.477 0.207 1
O4 O 0.486 0.054 0.703 1
O5 O 0.555 0.276 0.994 1
O6 O 0.903 0.233 0.504 1